First-principles (PBE-GGA) data for an optimized crystal structure of MgSc2Cd2, as listed in Alexandria via LeMat-Bulk.

The calculation puts the energy above the most stable polymorph in this dataset at 0.048 eV/atom. The value obtained for the total energy is -3.34 eV/atom. For the formation energy, the calculation gives -60 kJ/mol of formula units. Its space-group type is No. 2.

Cell lengths 3.293, 5.424, 7.681 Å; angles 60.92, 89.26, 107.05 degrees
Fractional coordinates of all 5 atoms:
Mg 0.000 0.500 0.000
Sc 0.806 0.109 0.796
Sc 0.194 0.891 0.204
Cd 0.404 0.301 0.393
Cd 0.596 0.699 0.607

First-principles (PBE-GGA) data for an optimized crystal structure of MgSc2Cd2, as listed in Alexandria via LeMat-Bulk.

The calculation puts the energy above the most stable polymorph in this dataset at 0.000 eV/atom. The value obtained for the total energy is -3.39 eV/atom. For the formation energy, the calculation gives -83 kJ/mol of formula units. Its space-group type is No. 127.

Cell lengths 7.878, 7.878, 3.714 Å; angles 90.00, 90.00, 90.00 degrees
Fractional coordinates of all 10 atoms:
Sc 0.165 0.665 0.500
Sc 0.665 0.835 0.500
Sc 0.835 0.335 0.500
Sc 0.335 0.165 0.500
Mg 0.000 0.000 0.000
Mg 0.500 0.500 0.000
Cd 0.367 0.867 0.000
Cd 0.867 0.633 0.000
Cd 0.633 0.133 0.000
Cd 0.133 0.367 0.000

First-principles (PBE-GGA) data for an optimized crystal structure of MgSc2Cd2, as listed in Alexandria via LeMat-Bulk.

The calculation puts the energy above the most stable polymorph in this dataset at 0.160 eV/atom. The value obtained for the total energy is -3.23 eV/atom. For the formation energy, the calculation gives -6 kJ/mol of formula units. Its space-group type is No. 127.

Cell lengths 8.308, 8.308, 3.451 Å; angles 90.00, 90.00, 90.00 degrees
Fractional coordinates of all 10 atoms:
Sc 0.362 0.862 0.000
Sc 0.862 0.638 0.000
Sc 0.638 0.138 0.000
Sc 0.138 0.362 0.000
Mg 0.000 0.000 0.000
Mg 0.500 0.500 0.000
Cd 0.160 0.660 0.500
Cd 0.660 0.840 0.500
Cd 0.840 0.340 0.500
Cd 0.340 0.160 0.500

Number 1: theoretical density 5.00 g cm⁻³. Number 2: theoretical density 4.89 g cm⁻³. Number 3: theoretical density 4.73 g cm⁻³.